[1]
NbInCuAg | PBE-GGA | relaxed

Cell: 4.6124 4.6124 4.6124 Å, 60.00 60.00 60.00°
Sites, in units of the cell vectors:
Ag1 0.2500 0.2500 0.2500
Cu1 0.7500 0.7500 0.7500
In1 0.0000 0.0000 0.0000
Nb1 0.5000 0.5000 0.5000

Summary:
Its space group is F-43m. The value obtained for the energy above the most stable polymorph in this dataset is 0 kJ/mol of formula units.

***

[2]
BaHoCuTeSe2 | PBE-GGA | relaxed

Cell: 7.6550 7.6550 11.0676 Å, 90.00 90.00 148.19°
Sites, in units of the cell vectors:
Ba1 0.7310 0.2690 0.2500
Ba2 0.2690 0.7310 0.7500
Cu1 0.0312 0.9688 0.2500
Cu2 0.9688 0.0312 0.7500
Ho1 0.5000 0.5000 0.0000
Ho2 0.5000 0.5000 0.5000
Se1 0.1260 0.8740 0.0650
Se2 0.1260 0.8740 0.4350
Se3 0.8740 0.1260 0.5650
Se4 0.8740 0.1260 0.9350
Te1 0.4190 0.5810 0.2500
Te2 0.5810 0.4190 0.7500

Summary:
Its space group is Cmcm. The calculation puts the total DFT energy (no corrections) at -4.834 eV/atom.

***

[3]
Ho2CoSi | PBE-GGA | relaxed

Cell: 4.0135 7.3667 5.5744 Å, 90.00 90.00 90.00°
Sites, in units of the cell vectors:
Co1 0.0000 0.7718 0.0994
Co2 0.5000 0.2282 0.5994
Ho1 0.5000 0.0551 0.1361
Ho2 0.5000 0.5899 0.3798
Ho3 0.0000 0.9449 0.6361
Ho4 0.0000 0.4101 0.8798
Si1 0.0000 0.2928 0.3847
Si2 0.5000 0.7072 0.8847

Summary:
Its space group is Pmn2_1. The value obtained for the energy above the most stable polymorph in this dataset is 5 kJ/mol of formula units.

***

[4]
TmSnPbS3 | PBE-GGA | relaxed

Cell: 7.6942 7.6942 11.1297 Å, 90.00 90.00 151.21°
Sites, in units of the cell vectors:
Pb1 0.8356 0.1644 0.2500
Pb2 0.1644 0.8356 0.7500
S1 0.1251 0.8749 0.0029
S2 0.5069 0.4931 0.2500
S3 0.1251 0.8749 0.4971
S4 0.8749 0.1251 0.5029
S5 0.4931 0.5069 0.7500
S6 0.8749 0.1251 0.9971
Sn1 0.1440 0.8560 0.2500
Sn2 0.8560 0.1440 0.7500
Tm1 0.5000 0.5000 0.0000
Tm2 0.5000 0.5000 0.5000

Summary:
Its space group is Cmcm. The calculation puts the total DFT energy (no corrections) at -5.083 eV/atom.

***

> Number 1 is which compound?

NbInCuAg